Computed, not measured: a relaxed structure of MgCuBO2 at the GGA-PBE level of DFT.

Unit cell a=3.644 b=3.644 c=5.560 alpha=90.00 beta=90.00 gamma=90.00
Positions (direct):
Mg1 0.000 0.000 0.000
Cu1 0.000 0.000 0.500
B1 0.500 0.500 0.500
O1 0.000 0.500 0.000
O2 0.500 0.000 0.000

As for the raw total energy: -3.8688 eV per atom. The calculation puts the formation energy (no corrections) at 0.5881 eV per atom.